A relaxed ErAsPtO crystal. Source: the Open Quantum Materials Database, functional PBE.

Calculated values
Space group: Pmc2_1
Excess energy over the best structure of this formula in the dataset in kJ per mole of atoms: 40.2
VASP energy in eV for the cell shown: -51.36

abc: 3.565 7.783 5.493
angles: 90.00 90.00 90.00
Element x y z (fractional)
As: 0.000 0.922 0.438
As: 0.000 0.078 0.938
Er: 0.000 0.298 0.438
Er: 0.000 0.702 0.938
O: 0.500 0.436 0.438
O: 0.500 0.564 0.938
Pt: 0.500 0.717 0.440
Pt: 0.500 0.283 0.940